Record 1
# KLaTlSn PBE optimized geometry
# * total magnetic moment: 0.00 μB per cell
# * Fermi-level density of states: 3.83 states/eV/f.u.
# * E_tot: -53.6 eV per cell
# * formation enthalpy at 0 K: -0.2509 eV per atom
data_KLaTlSn
_cell_length_a 8.058
_cell_length_b 8.058
_cell_length_c 8.058
_cell_angle_alpha 90.00
_cell_angle_beta 90.00
_cell_angle_gamma 90.00
_space_group_name_H-M_alt 'F -4 3 m'
_space_group_IT_number 216
_space_group_name_Hall 'F -4 2 3'
loop_
_atom_site_label
_atom_site_fract_x
_atom_site_fract_y
_atom_site_fract_z
K1 0.000 0.000 0.000
La1 0.000 0.000 0.500
Tl1 0.250 0.250 0.250
Sn1 0.250 0.250 0.750

Record 2
# Na4Ac3HoSe8 PBE optimized geometry
# * total magnetic moment: 0.00 μB per cell
# * Fermi-level density of states: 0.00 states/eV/f.u.
# * E_tot: -232.1 eV per cell
data_Na4Ac3HoSe8
_cell_length_a 8.8525
_cell_length_b 8.8525
_cell_length_c 21.0426
_cell_angle_alpha 90.00
_cell_angle_beta 90.00
_cell_angle_gamma 120.00
_space_group_name_H-M_alt 'R -3 m'
_space_group_IT_number 166
_space_group_name_Hall '-R 3 2"'
loop_
_atom_site_label
_atom_site_fract_x
_atom_site_fract_y
_atom_site_fract_z
Na1 0.0000 0.0000 0.0000
Na2 0.0000 0.5000 0.0000
Ac1 0.0000 0.5000 0.5000
Ho1 0.0000 0.0000 0.5000
Se1 0.0000 0.0000 0.2493
Se2 0.0181 0.5091 0.2457

Record 3
# AgSb2RhSe PBE optimized geometry
# * total magnetic moment: 0.00 μB per cell
# * Fermi-level density of states: 3.80 states/eV/f.u.
# * E_tot: -18.5 eV per cell
data_AgSb2RhSe
_cell_length_a 5.452
_cell_length_b 5.452
_cell_length_c 4.549
_cell_angle_alpha 90.00
_cell_angle_beta 90.00
_cell_angle_gamma 90.00
_space_group_name_H-M_alt 'P 4/m m m'
_space_group_IT_number 123
_space_group_name_Hall '-P 4 2'
loop_
_atom_site_label
_atom_site_fract_x
_atom_site_fract_y
_atom_site_fract_z
Ag1 0.000 0.000 0.000
Sb1 0.000 0.500 0.500
Rh1 0.500 0.500 0.000
Se1 0.500 0.500 0.500

Q: What is the E_tot in the third record?
A: -18.5 eV per cell